[1]
# LiScPd14

A relaxed structure of LiScPd14 (PBE, the Alexandria database).

Output
Raw total energy = -5.3239 eV/atom
Size of the total moment = 0.0 μB per formula unit

Structure (CIF):
```
data_LiScPd14
_cell_length_a 5.5862
_cell_length_b 5.5862
_cell_length_c 7.9061
_cell_angle_alpha 90.00
_cell_angle_beta 90.00
_cell_angle_gamma 90.00
_space_group_name_H-M_alt 'P 4/m m m'
_space_group_IT_number 123
_space_group_name_Hall '-P 4 2'
loop_
_atom_site_label
_atom_site_type_symbol
_atom_site_fract_x
_atom_site_fract_y
_atom_site_fract_z
Li1 Li 0.0000 0.0000 0.0000
Sc1 Sc 0.5000 0.5000 0.0000
Pd1 Pd 0.0000 0.0000 0.5000
Pd2 Pd 0.0000 0.5000 0.0000
Pd3 Pd 0.0000 0.5000 0.5000
Pd4 Pd 0.2492 0.2492 0.2476
Pd5 Pd 0.5000 0.5000 0.5000
```

***

[2]
# SrNp4Rh3S12

A relaxed structure of SrNp4Rh3S12 (PBE, the Alexandria database).

Output
E_form (uncorrected) = -0.93 eV per atom
Raw total energy = -7.1781 eV/atom
Size of the total moment = 9.0 μB per formula unit

Structure (CIF):
```
data_SrNp4Rh3S12
_cell_length_a 9.6428
_cell_length_b 9.6428
_cell_length_c 9.6428
_cell_angle_alpha 90.00
_cell_angle_beta 90.00
_cell_angle_gamma 90.00
_space_group_name_H-M_alt 'I m -3'
_space_group_IT_number 204
_space_group_name_Hall '-I 2 2 3'
loop_
_atom_site_label
_atom_site_type_symbol
_atom_site_fract_x
_atom_site_fract_y
_atom_site_fract_z
Sr1 Sr 0.0000 0.0000 0.0000
Np1 Np 0.2500 0.2500 0.2500
Rh1 Rh 0.0000 0.0000 0.5000
S1 S 0.0000 0.3142 0.1586
```

***

[3]
# BiPbS2N

A relaxed structure of BiPbS2N (PBE, the Alexandria database).

Output
E_form (uncorrected) = 0.63 eV per atom
Raw total energy = -4.2044 eV/atom
Size of the total moment = 1.0 μB per formula unit

Structure (CIF):
```
data_BiPbS2N
_cell_length_a 5.3313
_cell_length_b 5.3313
_cell_length_c 4.3466
_cell_angle_alpha 90.00
_cell_angle_beta 90.00
_cell_angle_gamma 90.00
_space_group_name_H-M_alt 'P 4/m m m'
_space_group_IT_number 123
_space_group_name_Hall '-P 4 2'
loop_
_atom_site_label
_atom_site_type_symbol
_atom_site_fract_x
_atom_site_fract_y
_atom_site_fract_z
Bi1 Bi 0.0000 0.0000 0.0000
Pb1 Pb 0.5000 0.5000 0.5000
S1 S 0.0000 0.5000 0.0000
N1 N 0.0000 0.0000 0.5000
```

***

[4]
# LaPmPd10

A relaxed structure of LaPmPd10 (PBE, the Alexandria database).

Output
Raw total energy = -5.6783 eV/atom
Size of the total moment = 0.0 μB per formula unit

Structure (CIF):
```
data_LaPmPd10
_cell_length_a 4.5032
_cell_length_b 5.3705
_cell_length_c 9.2865
_cell_angle_alpha 90.00
_cell_angle_beta 90.00
_cell_angle_gamma 90.00
_space_group_name_H-M_alt 'P m m m'
_space_group_IT_number 47
_space_group_name_Hall '-P 2 2'
loop_
_atom_site_label
_atom_site_type_symbol
_atom_site_fract_x
_atom_site_fract_y
_atom_site_fract_z
La1 La 0.0000 0.0000 0.0000
Pm1 Pm 0.0000 0.5000 0.5000
Pd1 Pd 0.0000 0.0000 0.3352
Pd2 Pd 0.0000 0.5000 0.1682
Pd3 Pd 0.5000 0.0000 0.5000
Pd4 Pd 0.5000 0.2508 0.2517
Pd5 Pd 0.5000 0.5000 0.0000
```

***

[5]
# TaFeSb2Te

A relaxed structure of TaFeSb2Te (PBE, the Alexandria database).

Output
E_form (uncorrected) = 1.01 eV per atom
Raw total energy = -5.3336 eV/atom
Size of the total moment = 0.0 μB per formula unit

Structure (CIF):
```
data_TaFeSb2Te
_cell_length_a 4.7615
_cell_length_b 4.7615
_cell_length_c 5.1698
_cell_angle_alpha 90.00
_cell_angle_beta 90.00
_cell_angle_gamma 90.00
_space_group_name_H-M_alt 'P 4/m m m'
_space_group_IT_number 123
_space_group_name_Hall '-P 4 2'
loop_
_atom_site_label
_atom_site_type_symbol
_atom_site_fract_x
_atom_site_fract_y
_atom_site_fract_z
Ta1 Ta 0.0000 0.0000 0.0000
Fe1 Fe 0.5000 0.5000 0.5000
Sb1 Sb 0.0000 0.5000 0.5000
Te1 Te 0.5000 0.5000 0.0000
```

***

[6]
# BaNiSnHg2

A relaxed structure of BaNiSnHg2 (PBE, the Alexandria database).

Output
Raw total energy = -2.7547 eV/atom
Size of the total moment = 0.0 μB per formula unit

Structure (CIF):
```
data_BaNiSnHg2
_cell_length_a 5.1870
_cell_length_b 5.1870
_cell_length_c 5.0247
_cell_angle_alpha 90.00
_cell_angle_beta 90.00
_cell_angle_gamma 90.00
_space_group_name_H-M_alt 'P 4/m m m'
_space_group_IT_number 123
_space_group_name_Hall '-P 4 2'
loop_
_atom_site_label
_atom_site_type_symbol
_atom_site_fract_x
_atom_site_fract_y
_atom_site_fract_z
Ba1 Ba 0.0000 0.0000 0.0000
Ni1 Ni 0.5000 0.5000 0.5000
Sn1 Sn 0.5000 0.5000 0.0000
Hg1 Hg 0.0000 0.5000 0.5000
```

***

[7]
# Pb3Au5Se12

A relaxed structure of Pb3Au5Se12 (PBE, the Alexandria database).

Output
E_form (uncorrected) = 0.04 eV per atom
Raw total energy = -3.4285 eV/atom
Size of the total moment = 0.0 μB per formula unit

Structure (CIF):
```
data_Pb3Au5Se12
_cell_length_a 16.3769
_cell_length_b 16.3769
_cell_length_c 16.3769
_cell_angle_alpha 90.00
_cell_angle_beta 90.00
_cell_angle_gamma 90.00
_space_group_name_H-M_alt 'I a -3 d'
_space_group_IT_number 230
_space_group_name_Hall '-I 4bd 2c 3'
loop_
_atom_site_label
_atom_site_type_symbol
_atom_site_fract_x
_atom_site_fract_y
_atom_site_fract_z
Pb1 Pb 0.0000 0.2500 0.1250
Au1 Au 0.0000 0.0000 0.0000
Au2 Au 0.0000 0.2500 0.3750
Se1 Se 0.0217 0.0556 0.6490
```

***

[8]
# HgRu3

A relaxed structure of HgRu3 (PBE, the Alexandria database).

Output
Raw total energy = -6.3231 eV/atom
Size of the total moment = 2.0 μB per formula unit

Structure (CIF):
```
data_HgRu3
_cell_length_a 6.3285
_cell_length_b 6.3285
_cell_length_c 6.3285
_cell_angle_alpha 90.00
_cell_angle_beta 90.00
_cell_angle_gamma 90.00
_space_group_name_H-M_alt 'F m -3 m'
_space_group_IT_number 225
_space_group_name_Hall '-F 4 2 3'
loop_
_atom_site_label
_atom_site_type_symbol
_atom_site_fract_x
_atom_site_fract_y
_atom_site_fract_z
Hg1 Hg 0.0000 0.0000 0.0000
Ru1 Ru 0.0000 0.0000 0.5000
Ru2 Ru 0.2500 0.2500 0.2500
```